Here is an optimized crystal structure of Li2AgOs from the Alexandria database. Energies are from PBE.

Computed properties:
Distance to the lowest polymorph of the same formula in meV per atom: 115
Formation energy from the elements in eV per atom: 0.1927

abc: 9.1126 2.5737 5.0682
angles: 90.00 97.11 90.00
Space group C2/m (No. 12)
Inequivalent atoms, fractional coordinates:
Li  0.2496  0.0000  0.2250 (multiplicity 4)
Ag  0.0000  0.0000  0.5000 (multiplicity 2)
Os  0.0000  0.5000  0.0000 (multiplicity 2)

Here is an optimized crystal structure of AcPaSe3 from the Alexandria database. Energies are from PBE.

Computed properties:
Distance to the lowest polymorph of the same formula in meV per atom: 230

abc: 16.2974 5.6971 6.0732
angles: 90.00 90.03 90.00
Space group C2/m (No. 12)
Inequivalent atoms, fractional coordinates:
Ac  0.1217  0.0000  0.4993 (multiplicity 4)
Pa  0.1526  0.5000  0.9997 (multiplicity 4)
Se  0.0001  0.5000  0.2522 (multiplicity 4)
Se  0.1593  0.0000  0.9994 (multiplicity 4)
Se  0.1915  0.5000  0.5001 (multiplicity 4)

Here is an optimized crystal structure of NaTl3Au2 from the Alexandria database. Energies are from PBE.

Computed properties:
Formation energy from the elements in eV per atom: -0.1171

abc: 4.6991 9.1748 14.6242
angles: 90.00 90.00 90.00
Space group Immm (No. 71)
Inequivalent atoms, fractional coordinates:
Na  0.0000  0.0000  0.1227 (multiplicity 4)
Tl  0.0000  0.1977  0.3251 (multiplicity 8)
Tl  0.0000  0.3355  0.0000 (multiplicity 4)
Au  0.0000  0.3521  0.5000 (multiplicity 4)
Au  0.0000  0.5000  0.2051 (multiplicity 4)

Here is an optimized crystal structure of Re2Hg3 from the Alexandria database. Energies are from PBE.

Computed properties:
Distance to the lowest polymorph of the same formula in meV per atom: 102
Formation energy from the elements in eV per atom: 0.7702

abc: 4.6497 4.6497 5.6529
angles: 90.00 90.00 120.00
Space group P-3m1 (No. 164)
Inequivalent atoms, fractional coordinates:
Re  0.3333  0.6667  0.4318 (multiplicity 2)
Hg  0.0000  0.0000  0.5000 (multiplicity 1)
Hg  0.3333  0.6667  0.9174 (multiplicity 2)

Here is an optimized crystal structure of Th3Sn from the Alexandria database. Energies are from PBE.

Computed properties:
Formation energy from the elements in eV per atom: -0.2394

abc: 3.5402 11.4349 5.9964
angles: 90.00 90.00 90.00
Space group Imm2 (No. 44)
Inequivalent atoms, fractional coordinates:
Th  0.0000  0.0000  0.0000 (multiplicity 2)
Th  0.0000  0.2371  0.3242 (multiplicity 4)
Sn  0.0000  0.5000  0.0137 (multiplicity 2)

Here is an optimized crystal structure of La2TcH from the Alexandria database. Energies are from PBE.

Computed properties:
Distance to the lowest polymorph of the same formula in meV per atom: 213

abc: 3.3734 3.3734 24.9650
angles: 90.00 90.00 120.00
Space group R-3m (No. 166, hexagonal axes)
Inequivalent atoms, fractional coordinates:
La  0.0000  0.0000  0.0999 (multiplicity 6)
Tc  0.0000  0.0000  0.0000 (multiplicity 3)
H  0.0000  0.0000  0.5000 (multiplicity 3)

Here is an optimized crystal structure of In3SnGe from the Alexandria database. Energies are from PBE.

Computed properties:
Distance to the lowest polymorph of the same formula in meV per atom: 0
Formation energy from the elements in eV per atom: 0.3806

abc: 5.3557 5.3557 5.3557
angles: 90.00 90.00 90.00
Space group Pm-3m (No. 221)
Inequivalent atoms, fractional coordinates:
In  0.0000  0.0000  0.5000 (multiplicity 3)
Sn  0.5000  0.5000  0.5000 (multiplicity 1)
Ge  0.0000  0.0000  0.0000 (multiplicity 1)

Here is an optimized crystal structure of Te2PCl from the Alexandria database. Energies are from PBE.

Computed properties:
Distance to the lowest polymorph of the same formula in meV per atom: 255

abc: 3.6085 5.2156 12.4861
angles: 90.00 90.00 90.00
Space group Imm2 (No. 44)
Inequivalent atoms, fractional coordinates:
Te  0.0000  0.0000  0.0000 (multiplicity 2)
Te  0.0000  0.5000  0.1104 (multiplicity 2)
P  0.0000  0.0000  0.4504 (multiplicity 2)
Cl  0.0000  0.5000  0.7971 (multiplicity 2)

Here is an optimized crystal structure of Dy12YTm6 from the Alexandria database. Energies are from PBE.

Computed properties:
Distance to the lowest polymorph of the same formula in meV per atom: 284
Formation energy from the elements in eV per atom: 0.4433

abc: 14.9494 14.9494 10.0123
angles: 90.00 90.00 120.00
Space group R-3m (No. 166, hexagonal axes)
Inequivalent atoms, fractional coordinates:
Dy  0.0000  0.3888  0.0000 (multiplicity 18)
Dy  0.0731  0.1462  0.7892 (multiplicity 18)
Y  0.0000  0.0000  0.5000 (multiplicity 3)
Tm  0.0552  0.5276  0.7140 (multiplicity 18)

Here is an optimized crystal structure of Cs3GeSb from the Alexandria database. Energies are from PBE.

Computed properties:
Distance to the lowest polymorph of the same formula in meV per atom: 0

abc: 6.9186 12.5566 11.0052
angles: 90.00 90.00 90.00
Space group Cmc2_1 (No. 36)
Inequivalent atoms, fractional coordinates:
Cs  0.0000  0.1332  0.0000 (multiplicity 4)
Cs  0.2489  0.3812  0.1702 (multiplicity 8)
Ge  0.0000  0.3840  0.8233 (multiplicity 4)
Sb  0.0000  0.1412  0.3472 (multiplicity 4)

Here is an optimized crystal structure of Sc2CrPb from the Alexandria database. Energies are from PBE.

Computed properties:
Formation energy from the elements in eV per atom: -0.0058

abc: 4.3961 4.3961 8.8627
angles: 90.00 90.00 90.00
Space group I4/mmm (No. 139)
Inequivalent atoms, fractional coordinates:
Sc  0.0000  0.5000  0.2500 (multiplicity 4)
Cr  0.0000  0.0000  0.0000 (multiplicity 2)
Pb  0.0000  0.0000  0.5000 (multiplicity 2)

Here is an optimized crystal structure of HfMo4As2 from the Alexandria database. Energies are from PBE.

Computed properties:
Formation energy from the elements in eV per atom: 1.4529

abc: 4.7059 4.7059 13.0349
angles: 90.00 90.00 90.00
Space group I4/mmm (No. 139)
Inequivalent atoms, fractional coordinates:
Hf  0.0000  0.0000  0.0000 (multiplicity 2)
Mo  0.0000  0.0000  0.1974 (multiplicity 4)
Mo  0.0000  0.5000  0.0000 (multiplicity 4)
As  0.0000  0.0000  0.3832 (multiplicity 4)